Model one:
! PBEsol Hg2Br, relaxed; values from VASP
! Volume = 26.92 Å³/atom
! Theoretical density = 9891 kg/m3
&SYSTEM
  ibrav = 0, nat = 3, ntyp = 2
/
ATOMIC_SPECIES
Hg 200.59 Hg.upf
Br 79.90 Br.upf
ATOMIC_POSITIONS angstrom
Hg -3.3126 0.5607 2.6574
Hg -1.3072 -1.4666 2.3665
Br 0.0000 0.0000 0.0000
CELL_PARAMETERS angstrom
-3.7132 0.7206 -1.6045
0.8064 -3.6197 1.7689
-1.7129 1.9932 4.8595

Model two:
! PBEsol Hg2Br, relaxed; values from VASP
! Volume = 27.07 Å³/atom
! Theoretical density = 9838 kg/m3
&SYSTEM
  ibrav = 0, nat = 6, ntyp = 2
/
ATOMIC_SPECIES
Hg 200.59 Hg.upf
Br 79.90 Br.upf
ATOMIC_POSITIONS angstrom
Hg 2.0485 1.1827 4.7823
Hg 0.0000 2.3655 6.3897
Hg 2.0485 1.1827 0.8037
Hg 0.0000 2.3655 10.3683
Br 0.0000 0.0000 8.3790
Br 0.0000 0.0000 2.7930
CELL_PARAMETERS angstrom
4.0971 0.0000 0.0000
-2.0485 3.5482 0.0000
0.0000 0.0000 11.1720

Verdict on stability: model two comes out at the bottom.

Model one:
! PBEsol Hg4Br, relaxed; values from VASP
! Volume = 35.02 Å³/atom
! Theoretical density = 8367 kg/m3
&SYSTEM
  ibrav = 0, nat = 5, ntyp = 2
/
ATOMIC_SPECIES
Hg 200.59 Hg.upf
Br 79.90 Br.upf
ATOMIC_POSITIONS angstrom
Hg 3.0521 0.0000 0.0000
Hg -1.0174 2.8776 0.0000
Hg 1.0174 1.4388 2.4921
Hg -1.0174 -1.4388 2.4921
Br 0.0000 0.0000 0.0000
CELL_PARAMETERS angstrom
6.1043 0.0000 0.0000
-2.0348 5.7551 0.0000
-2.0348 -2.8776 4.9841

Model two:
! PBEsol Hg4Br, relaxed; values from VASP
! Volume = 26.62 Å³/atom
! Theoretical density = 11008 kg/m3
&SYSTEM
  ibrav = 0, nat = 20, ntyp = 2
/
ATOMIC_SPECIES
Hg 200.59 Hg.upf
Br 79.90 Br.upf
ATOMIC_POSITIONS angstrom
Hg 0.6293 0.8900 1.5416
Hg -1.4738 4.1687 3.6102
Hg 2.0348 2.8777 0.0000
Hg -2.3184 6.5573 0.0000
Hg -2.3184 -3.2787 5.6788
Hg 1.4738 5.2108 1.8051
Hg -3.8606 2.7298 4.7282
Hg 4.4215 0.0000 3.6102
Hg -2.0348 1.4389 2.4922
Hg 3.8606 -2.7298 4.7282
Hg -1.4738 1.0422 5.4153
Hg 2.0348 -1.4389 2.4922
Hg 3.8606 5.4596 0.0000
Hg 6.9551 0.0000 0.0000
Hg 1.4738 -1.0422 5.4153
Hg 4.4215 3.1265 1.8051
Br 1.5655 2.2140 3.8348
Br 4.1465 0.0000 0.0000
Br -1.3822 -1.9547 3.3856
Br -1.3822 3.9094 0.0000
CELL_PARAMETERS angstrom
8.8431 0.0000 0.0000
-2.9477 8.3374 0.0000
-2.9477 -4.1687 7.2204

Verdict on stability: model one comes out at the bottom.

Model one:
! PBEsol InHg2Br, relaxed; values from VASP
! Volume = 27.19 Å³/atom
! Theoretical density = 9098 kg/m3
&SYSTEM
  ibrav = 0, nat = 4, ntyp = 3
/
ATOMIC_SPECIES
Br 79.90 Br.upf
Hg 200.59 Hg.upf
In 114.82 In.upf
ATOMIC_POSITIONS angstrom
Br 0.0000 2.3331 2.7915
Hg 0.0000 0.0000 0.0000
Hg 2.0876 2.3331 0.0000
In 2.0876 0.0000 2.7915
CELL_PARAMETERS angstrom
4.1752 0.0000 0.0000
0.0000 4.6662 0.0000
0.0000 0.0000 5.5829

Model two:
! PBEsol InHg2Br, relaxed; values from VASP
! Volume = 28.88 Å³/atom
! Theoretical density = 8567 kg/m3
&SYSTEM
  ibrav = 0, nat = 4, ntyp = 3
/
ATOMIC_SPECIES
In 114.82 In.upf
Hg 200.59 Hg.upf
Br 79.90 Br.upf
ATOMIC_POSITIONS angstrom
In 1.9215 2.3236 2.4885
Hg 3.2983 1.1851 0.0000
Hg 0.5447 3.4621 0.0000
Br 0.0000 0.0000 2.4885
CELL_PARAMETERS angstrom
4.8874 -0.1290 0.0000
-1.0445 4.7763 0.0000
0.0000 0.0000 4.9769

Verdict on stability: model one comes out at the bottom.

Model one:
! PBEsol InHg2Br, relaxed; values from VASP
! Volume = 27.08 Å³/atom
! Theoretical density = 9134 kg/m3
&SYSTEM
  ibrav = 0, nat = 4, ntyp = 3
/
ATOMIC_SPECIES
Br 79.90 Br.upf
Hg 200.59 Hg.upf
In 114.82 In.upf
ATOMIC_POSITIONS angstrom
Br 0.0000 0.0000 0.0000
Hg 2.1880 0.0000 2.8286
Hg 0.0000 2.1880 2.8286
In 2.1880 2.1880 0.0000
CELL_PARAMETERS angstrom
4.3760 0.0000 0.0000
0.0000 4.3760 0.0000
-2.1880 -2.1880 5.6573

Model two:
! PBEsol InHg2Br, relaxed; values from VASP
! Volume = 26.48 Å³/atom
! Theoretical density = 9343 kg/m3
&SYSTEM
  ibrav = 0, nat = 4, ntyp = 3
/
ATOMIC_SPECIES
Hg 200.59 Hg.upf
Br 79.90 Br.upf
In 114.82 In.upf
ATOMIC_POSITIONS angstrom
Hg -4.0594 -0.1110 0.7185
Hg -1.5770 1.1053 2.2512
Br -1.0763 0.9033 -1.1975
In -1.5642 -2.0088 -0.1095
CELL_PARAMETERS angstrom
-2.1525 1.8067 -2.3949
-3.1284 -4.0176 -0.2190
-0.3554 3.2052 5.5836

Model three:
! PBEsol InHg2Br, relaxed; values from VASP
! Volume = 26.98 Å³/atom
! Theoretical density = 9170 kg/m3
&SYSTEM
  ibrav = 0, nat = 4, ntyp = 3
/
ATOMIC_SPECIES
In 114.82 In.upf
Hg 200.59 Hg.upf
Br 79.90 Br.upf
ATOMIC_POSITIONS angstrom
In 0.2620 -2.7625 -2.3910
Hg 2.6922 -1.8292 -0.3973
Hg 0.0000 0.0000 0.0000
Br 2.9542 -4.5917 -2.7883
CELL_PARAMETERS angstrom
-1.1701 -0.6348 -5.0062
5.1223 -0.8959 1.5965
1.6941 -4.8901 0.2241

Model four:
! PBEsol InHg2Br, relaxed; values from VASP
! Volume = 28.43 Å³/atom
! Theoretical density = 8700 kg/m3
&SYSTEM
  ibrav = 0, nat = 4, ntyp = 3
/
ATOMIC_SPECIES
In 114.82 In.upf
Hg 200.59 Hg.upf
Br 79.90 Br.upf
ATOMIC_POSITIONS angstrom
In 4.2267 2.4403 3.7655
Hg 6.3400 3.6604 5.4875
Hg 2.1133 1.2201 7.1614
Br 2.1133 1.2201 1.9640
CELL_PARAMETERS angstrom
4.2267 0.0000 0.0000
2.1133 3.6604 0.0000
2.1133 1.2201 7.3514

Verdict on stability: model three comes out at the bottom.

Model one:
! PBEsol InHg2Br, relaxed; values from VASP
! Volume = 26.70 Å³/atom
! Theoretical density = 9265 kg/m3
&SYSTEM
  ibrav = 0, nat = 4, ntyp = 3
/
ATOMIC_SPECIES
In 114.82 In.upf
Hg 200.59 Hg.upf
Br 79.90 Br.upf
ATOMIC_POSITIONS angstrom
In 0.0000 0.0000 3.8935
Hg 0.0000 0.0000 0.1703
Hg 1.8671 1.8671 1.8540
Br 1.8671 1.8671 5.5715
CELL_PARAMETERS angstrom
3.7342 0.0000 0.0000
0.0000 3.7342 0.0000
0.0000 0.0000 7.6595

Model two:
! PBEsol InHg2Br, relaxed; values from VASP
! Volume = 27.60 Å³/atom
! Theoretical density = 8963 kg/m3
&SYSTEM
  ibrav = 0, nat = 4, ntyp = 3
/
ATOMIC_SPECIES
Hg 200.59 Hg.upf
In 114.82 In.upf
Br 79.90 Br.upf
ATOMIC_POSITIONS angstrom
Hg 1.0412 1.0897 2.9023
Hg -1.0412 -1.0897 2.9023
In 2.1741 -0.0080 0.0000
Br -0.0917 2.1875 0.0000
CELL_PARAMETERS angstrom
4.3483 -0.0161 0.0000
-0.1835 4.3750 0.0000
-2.0824 -2.1794 5.8046

Model three:
! PBEsol InHg2Br, relaxed; values from VASP
! Volume = 28.00 Å³/atom
! Theoretical density = 8836 kg/m3
&SYSTEM
  ibrav = 0, nat = 4, ntyp = 3
/
ATOMIC_SPECIES
Hg 200.59 Hg.upf
Br 79.90 Br.upf
In 114.82 In.upf
ATOMIC_POSITIONS angstrom
Hg -2.1463 -1.7541 -2.0492
Hg -0.5295 -0.2176 0.1098
Br -4.4092 0.7653 -0.5349
In -3.7683 -2.0377 0.6331
CELL_PARAMETERS angstrom
-1.2315 1.1244 -3.7107
-0.9479 -4.3448 -1.0019
-5.1507 2.8808 2.5822

Verdict on stability: model one comes out at the bottom.

Model one:
! PBEsol La2HgBr, relaxed; values from VASP
! Volume = 30.39 Å³/atom
! Theoretical density = 7628 kg/m3
&SYSTEM
  ibrav = 0, nat = 4, ntyp = 3
/
ATOMIC_SPECIES
La 138.91 La.upf
Hg 200.59 Hg.upf
Br 79.90 Br.upf
ATOMIC_POSITIONS angstrom
La -4.3183 3.9883 -2.4816
La -2.2010 0.9348 -1.7646
Hg -3.6515 2.8093 0.5118
Br -2.2045 -1.5353 -0.0255
CELL_PARAMETERS angstrom
-1.8126 -1.8831 -2.6605
-2.5963 -1.1875 2.6094
-4.7067 6.8061 -1.5857

Model two:
! PBEsol La2HgBr, relaxed; values from VASP
! Volume = 27.43 Å³/atom
! Theoretical density = 8450 kg/m3
&SYSTEM
  ibrav = 0, nat = 4, ntyp = 3
/
ATOMIC_SPECIES
Hg 200.59 Hg.upf
La 138.91 La.upf
Br 79.90 Br.upf
ATOMIC_POSITIONS angstrom
Hg 0.8729 3.5716 5.4584
La 1.3094 5.3574 8.1876
La 0.4365 1.7858 2.7292
Br 0.0000 0.0000 0.0000
CELL_PARAMETERS angstrom
-0.2368 4.9434 2.0933
-1.5755 0.6893 5.0909
3.5582 1.5105 3.7326

Model three:
! PBEsol La2HgBr, relaxed; values from VASP
! Volume = 31.95 Å³/atom
! Theoretical density = 7254 kg/m3
&SYSTEM
  ibrav = 0, nat = 4, ntyp = 3
/
ATOMIC_SPECIES
Hg 200.59 Hg.upf
La 138.91 La.upf
Br 79.90 Br.upf
ATOMIC_POSITIONS angstrom
Hg 1.9037 1.0991 2.5266
La 5.7110 3.2972 7.3690
La 5.7110 3.2972 0.1302
Br 3.8073 2.1982 5.2447
CELL_PARAMETERS angstrom
3.8073 0.0000 0.0000
1.9037 3.2972 0.0000
1.9037 1.0991 10.1804

Model four:
! PBEsol La2HgBr, relaxed; values from VASP
! Volume = 29.71 Å³/atom
! Theoretical density = 7802 kg/m3
&SYSTEM
  ibrav = 0, nat = 4, ntyp = 3
/
ATOMIC_SPECIES
Br 79.90 Br.upf
La 138.91 La.upf
Hg 200.59 Hg.upf
ATOMIC_POSITIONS angstrom
Br 0.0000 0.0000 2.3472
La 0.0000 0.0000 5.4741
La 2.1795 2.1795 2.3437
Hg 2.1795 2.1795 5.4704
CELL_PARAMETERS angstrom
4.3590 0.0000 0.0000
0.0000 4.3590 0.0000
0.0000 0.0000 6.2542

Verdict on stability: model three comes out at the bottom.

Model one:
! PBEsol La2HgBr, relaxed; values from VASP
! Volume = 29.86 Å³/atom
! Theoretical density = 7763 kg/m3
&SYSTEM
  ibrav = 0, nat = 4, ntyp = 3
/
ATOMIC_SPECIES
Hg 200.59 Hg.upf
La 138.91 La.upf
Br 79.90 Br.upf
ATOMIC_POSITIONS angstrom
Hg -5.4560 1.8348 2.3170
La -2.7024 0.9368 1.0958
La -8.2096 2.7327 3.5382
Br 0.0000 0.0000 0.0000
CELL_PARAMETERS angstrom
-2.1437 3.8451 0.3143
-4.1104 0.3693 -1.5644
-4.6579 -0.5449 5.8841

Model two:
! PBEsol La2HgBr, relaxed; values from VASP
! Volume = 27.00 Å³/atom
! Theoretical density = 8584 kg/m3
&SYSTEM
  ibrav = 0, nat = 4, ntyp = 3
/
ATOMIC_SPECIES
La 138.91 La.upf
Br 79.90 Br.upf
Hg 200.59 Hg.upf
ATOMIC_POSITIONS angstrom
La -2.2774 -4.5288 8.4108
La 0.0000 0.0000 0.0000
Br -1.5183 -3.0192 5.6072
Hg -0.7591 -1.5096 2.8036
CELL_PARAMETERS angstrom
-1.6776 -4.5873 2.1717
1.8557 -1.5336 4.7727
-3.2147 0.0826 4.2700

Verdict on stability: model two comes out at the bottom.

Model one:
! PBEsol MgHgBr2, relaxed; values from VASP
! Volume = 24.59 Å³/atom
! Theoretical density = 6494 kg/m3
&SYSTEM
  ibrav = 0, nat = 4, ntyp = 3
/
ATOMIC_SPECIES
Br 79.90 Br.upf
Mg 24.30 Mg.upf
Hg 200.59 Hg.upf
ATOMIC_POSITIONS angstrom
Br 0.3519 0.1459 -2.5210
Br 2.2944 -1.0816 0.2577
Mg -0.7825 -1.7094 -0.2081
Hg 1.8638 -2.6452 -2.4714
CELL_PARAMETERS angstrom
-1.5650 -3.4189 -0.4163
0.7038 0.2917 -5.0419
4.5887 -2.1632 0.5154

Model two:
! PBEsol MgHgBr2, relaxed; values from VASP
! Volume = 29.37 Å³/atom
! Theoretical density = 5437 kg/m3
&SYSTEM
  ibrav = 0, nat = 4, ntyp = 3
/
ATOMIC_SPECIES
Mg 24.30 Mg.upf
Br 79.90 Br.upf
Hg 200.59 Hg.upf
ATOMIC_POSITIONS angstrom
Mg 2.4808 -4.1208 -0.8949
Br -1.3596 -6.1472 0.6617
Br 2.0845 -6.7402 -0.6852
Hg -2.1183 -2.3229 0.8832
CELL_PARAMETERS angstrom
-1.4266 -2.2872 2.6364
-2.8101 -2.3586 -0.8701
4.9616 -8.2415 -1.7898

Verdict on stability: model one comes out at the bottom.